The following is a PBE calculation of a relaxed structure of V3BiCl, from Alexandria.

Unit cell a=5.349 b=5.349 c=5.349 alpha=90.00 beta=90.00 gamma=90.00
Positions (direct):
Bi1 0.000 0.000 0.000
V1 0.000 0.500 0.000
V2 0.500 0.000 0.000
V3 0.000 0.000 0.500
Cl1 0.500 0.500 0.500

***

The following is a PBE calculation of a relaxed structure of V2BiCl6, from Alexandria.

Unit cell a=5.708 b=11.055 c=11.055 alpha=70.85 beta=76.28 gamma=76.28
Positions (direct):
Cl1 0.081 0.195 0.639
Cl2 0.307 0.074 0.350
Cl3 0.874 0.570 0.709
Cl4 0.126 0.430 0.291
Cl5 0.693 0.926 0.650
Cl6 0.419 0.361 0.805
Cl7 0.626 0.291 0.430
Cl8 0.193 0.650 0.926
Cl9 0.807 0.350 0.074
Cl10 0.581 0.639 0.195
Cl11 0.374 0.709 0.570
Cl12 0.919 0.805 0.361
V1 0.740 0.768 0.564
V2 0.240 0.564 0.768
V3 0.760 0.436 0.232
V4 0.260 0.232 0.436
Bi1 0.250 0.033 0.967
Bi2 0.750 0.967 0.033

***

The following is a PBE calculation of a relaxed structure of VBi3Cl, from Alexandria.

Unit cell a=5.428 b=5.428 c=5.428 alpha=90.00 beta=90.00 gamma=90.00
Positions (direct):
V1 0.500 0.500 0.500
Bi1 0.000 0.000 0.500
Bi2 0.000 0.500 0.000
Bi3 0.500 0.000 0.000
Cl1 0.000 0.000 0.000

***

Fermi-level density of states, record by record: 2.739, 0.380, 0.925 states/eV per atom
Raw formation energy, record by record: 1327, -843, 925 meV/atom